# POsRh2, relaxed, DFT PBEsol
# * total magnetization: 0.00 μB per cell
# * DFT total energy: -8.612 eV per atom
data_POsRh2
_chemical_formula_sum 'P1 Os1 Rh2'
_cell_length_a 2.734
_cell_length_b 2.734
_cell_length_c 7.016
_cell_angle_alpha 90.00
_cell_angle_beta 90.00
_cell_angle_gamma 90.00
_symmetry_space_group_name_H-M 'P 4/m m m'
_symmetry_Int_Tables_number 123
_symmetry_space_group_name_Hall '-P 4 2'
loop_
_atom_site_label
_atom_site_type_symbol
_atom_site_fract_x
_atom_site_fract_y
_atom_site_fract_z
P1 P 0.000 0.000 0.000
Os1 Os 0.000 0.000 0.500
Rh1 Rh 0.500 0.500 0.226